A plane-wave DFT calculation with PBE+U was carried out for FePIO2 after structural relaxation.

```
5
Lattice="3.8167 0.0000 0.0000 0.0000 3.8167 0.0000 0.0000 0.0000 5.7061" Properties=species:S:1:pos:R:3 pbc="T T T"
Fe 0.0000 0.0000 0.0000
P 0.0000 0.0000 2.8530
I 1.9083 1.9083 2.8530
O 0.0000 1.9083 0.0000
O 1.9083 0.0000 0.0000
```

The calculation puts the total energy at -22.68 eV for the cell shown. The size of the total moment is 4.7 μB per formula unit.